The following is a DFT calculation (PBE) of crystalline SmYAs2Pt2 at its relaxed geometry.

Cell: 4.3129 4.3129 15.5267 Å, 90.00 90.00 120.00°
Space group P6_3/mmc (No. 194)
Inequivalent atoms, fractional coordinates:
Sm 0.0000 0.0000 0.2500
Y 0.0000 0.0000 0.0000
As 0.3333 0.6667 0.1163
Pt 0.3333 0.6667 0.6296

Values from the calculation:
The value obtained for the total energy is -79.93 eV/cell.


The following is a DFT calculation (PBE) of crystalline Sn2As3Pt2 at its relaxed geometry.

Cell: 4.6200 4.6200 16.0681 Å, 90.00 90.00 120.00°
Space group P6_3/mmc (No. 194)
Inequivalent atoms, fractional coordinates:
Sn 0.3333 0.6667 0.0660
As 0.0000 0.0000 0.1592
As 0.3333 0.6667 0.7500
Pt 0.0000 0.0000 0.0000
Pt 0.3333 0.6667 0.2500

Values from the calculation:
The value obtained for the total energy is -68.94 eV/cell.


The following is a DFT calculation (PBE) of crystalline SnAsPt at its relaxed geometry.

Cell: 6.366 6.366 6.366 Å, 90.00 90.00 90.00°
Space group F-43m (No. 216)
Inequivalent atoms, fractional coordinates:
Sn 0.000 0.000 0.000
As 0.000 0.000 0.500
Pt 0.250 0.250 0.750

Values from the calculation:
The value obtained for the total energy is -62.45 eV/cell.


The following is a DFT calculation (PBE) of crystalline SrAsPt at its relaxed geometry.

Cell: 8.3066 8.3066 3.3474 Å, 90.00 90.00 120.00°
Space group P-62m (No. 189)
Inequivalent atoms, fractional coordinates:
Sr 0.0000 0.2880 0.0000
As 0.0000 0.0000 0.5000
As 0.3333 0.6667 0.0000
Pt 0.0000 0.5954 0.5000

Values from the calculation:
The value obtained for the total energy is -39.97 eV/cell.